Below is Rb3NaTe2O9 after structural relaxation, with properties calculated at the PBE-GGA level.

The total energy comes out at -0.1757 Ha/atom. As for the magnetic moment: 2.15 Bohr magnetons per cell. The uncorrected formation energy is -25.5 kcal/mol of atoms.

Lattice parameters (Å, degrees): 5.978 5.978 7.553 90.00 90.00 120.00
Fractional coordinates of all 15 atoms:
O1 0.500 0.500 0.000
O2 0.639 0.819 0.296
O3 0.500 0.000 0.000
O4 0.181 0.819 0.296
Rb1 0.667 0.333 0.350
Te1 0.667 0.333 0.842
O5 0.819 0.181 0.704
Te2 0.333 0.667 0.158
O6 0.000 0.500 0.000
Na1 0.000 0.000 0.500
Rb2 0.333 0.667 0.650
O7 0.181 0.361 0.296
O8 0.819 0.639 0.704
O9 0.361 0.181 0.704
Rb3 0.000 0.000 0.000

Below is Rb3Na2TeO6 after structural relaxation, with properties calculated at the PBE-GGA level.

The total energy comes out at -0.1660 Ha/atom. As for the magnetic moment: 1.09 Bohr magnetons per cell. The uncorrected formation energy is -30.3 kcal/mol of atoms.

Lattice parameters (Å, degrees): 6.153 6.153 6.575 98.62 98.62 120.06
Fractional coordinates of all 12 atoms:
Rb1 0.821 0.179 0.500
Na1 0.334 0.666 0.000
O1 0.201 0.201 0.815
Na2 0.666 0.334 0.000
Te1 0.000 0.000 0.000
O2 0.060 0.326 0.175
Rb2 0.179 0.821 0.500
Rb3 0.500 0.500 0.500
O3 0.799 0.799 0.185
O4 0.940 0.674 0.825
O5 0.326 0.060 0.175
O6 0.674 0.940 0.825

Below is Rb2NaTeO4 after structural relaxation, with properties calculated at the PBE-GGA level.

The total energy comes out at -0.1641 Ha/atom. As for the magnetic moment: 1.15 Bohr magnetons per cell. The uncorrected formation energy is -27.4 kcal/mol of atoms.

Lattice parameters (Å, degrees): 5.841 7.086 10.962 83.70 74.55 65.66
Fractional coordinates of all 16 atoms:
Na1 0.750 0.500 0.500
O1 0.573 0.185 0.087
O2 0.177 0.315 0.413
Na2 0.000 0.000 0.000
O3 0.845 0.815 0.913
Rb1 0.182 0.000 0.636
O4 0.340 0.815 0.087
O5 0.242 0.185 0.913
Te1 0.250 0.500 0.500
O6 0.410 0.685 0.413
O7 0.905 0.685 0.587
Rb2 0.568 0.500 0.864
Te2 0.500 0.000 0.000
Rb3 0.932 0.500 0.136
O8 0.508 0.315 0.587
Rb4 0.818 0.000 0.364

Below is RbNaTeO4 after structural relaxation, with properties calculated at the PBE-GGA level.

The total energy comes out at -0.1821 Ha/atom. As for the magnetic moment: 0.00 Bohr magnetons per cell. The uncorrected formation energy is -31.1 kcal/mol of atoms.

Lattice parameters (Å, degrees): 6.300 6.389 7.529 90.00 106.74 90.00
Fractional coordinates of all 14 atoms:
O1 0.434 0.750 0.172
Te1 0.727 0.250 0.659
Rb1 0.719 0.750 0.947
O2 0.473 0.750 0.573
O3 0.923 0.026 0.696
O4 0.566 0.250 0.828
O5 0.527 0.250 0.427
Rb2 0.281 0.250 0.053
O6 0.077 0.974 0.304
O7 0.923 0.474 0.696
O8 0.077 0.526 0.304
Na1 0.182 0.250 0.524
Te2 0.273 0.750 0.341
Na2 0.818 0.750 0.476

Below is Rb2Na2ThO4 after structural relaxation, with properties calculated at the PBE-GGA level.

The total energy comes out at -0.2072 Ha/atom. As for the magnetic moment: 0.00 Bohr magnetons per cell. The uncorrected formation energy is -48.5 kcal/mol of atoms.

Lattice parameters (Å, degrees): 3.795 9.330 7.493 133.13 104.67 90.00
Fractional coordinates of all 9 atoms:
O1 0.560 0.212 0.121
Na1 0.349 0.079 0.698
Na2 0.651 0.921 0.302
Th1 0.000 0.000 0.000
O2 0.200 0.110 0.401
O3 0.800 0.890 0.599
O4 0.440 0.788 0.879
Rb1 0.171 0.568 0.343
Rb2 0.829 0.432 0.657

Below is RbNaTlO after structural relaxation, with properties calculated at the PBE-GGA level.

The total energy comes out at -0.1138 Ha/atom. As for the magnetic moment: 0.00 Bohr magnetons per cell. The uncorrected formation energy is -16.0 kcal/mol of atoms.

Lattice parameters (Å, degrees): 3.544 5.110 6.270 114.05 90.00 90.00
Fractional coordinates of all 4 atoms:
O1 0.000 0.713 0.426
Rb1 0.500 0.227 0.455
Tl1 0.000 0.908 0.816
Na1 0.500 0.582 0.164

Below is RbNaTlO2 after structural relaxation, with properties calculated at the PBE-GGA level.

The total energy comes out at -0.1387 Ha/atom. As for the magnetic moment: 0.00 Bohr magnetons per cell. The uncorrected formation energy is -19.8 kcal/mol of atoms.

Lattice parameters (Å, degrees): 5.763 6.777 6.699 101.34 90.00 90.00
Fractional coordinates of all 10 atoms:
Rb1 0.349 0.500 0.750
O1 0.677 0.810 0.004
O2 0.323 0.810 0.504
O3 0.323 0.190 0.996
Tl1 0.546 0.000 0.750
Tl2 0.454 0.000 0.250
Rb2 0.651 0.500 0.250
Na1 0.000 0.000 0.000
O4 0.677 0.190 0.496
Na2 0.000 0.000 0.500

Below is Rb2NaUO4 after structural relaxation, with properties calculated at the PBE-GGA level.

The total energy comes out at -0.2422 Ha/atom. As for the magnetic moment: 1.00 Bohr magnetons per cell. The uncorrected formation energy is -52.9 kcal/mol of atoms.

Lattice parameters (Å, degrees): 3.609 6.116 6.806 107.90 90.00 90.00
Fractional coordinates of all 8 atoms:
O1 0.500 0.713 0.823
O2 0.000 0.301 0.821
Rb1 0.500 0.000 0.500
Rb2 0.000 0.500 0.500
O3 0.500 0.287 0.177
O4 0.000 0.699 0.179
U1 0.500 0.500 0.000
Na1 0.000 0.000 0.000